# 1
! PBE LaY2Sc, optimized geometry; values from VASP
&SYSTEM
  ibrav = 0, nat = 4, ntyp = 3
/
ATOMIC_SPECIES
La 138.91 La.upf
Y 88.91 Y.upf
Sc 44.96 Sc.upf
CELL_PARAMETERS angstrom
3.596 0.000 0.000
0.000 4.851 0.000
0.000 0.000 7.179
ATOMIC_POSITIONS angstrom
La 0.000 0.000 3.648
Y 0.000 0.000 7.114
Y 1.798 2.425 1.753
Sc 1.798 2.425 5.434
! Polymorph energy (0 for the lowest one) (eV per atom): 0.0209
! Crystal system: orthorhombic
! Calculated density (g/cm³): 4.79
! Calculated formation energy (eV per atom): 0.055

---

# 2
! PBE NiBr2, optimized geometry; values from VASP
&SYSTEM
  ibrav = 0, nat = 6, ntyp = 2
/
ATOMIC_SPECIES
Br 79.90 Br.upf
Ni 58.69 Ni.upf
CELL_PARAMETERS angstrom
-3.087 0.142 1.765
0.637 -2.675 -2.258
5.611 -7.452 10.411
ATOMIC_POSITIONS angstrom
Br -1.079 -1.815 1.846
Br 0.194 -3.505 4.207
Br 2.968 -6.480 5.710
Br 4.241 -8.170 8.071
Ni 4.209 -5.589 7.808
Ni 1.403 -1.863 2.603
! Crystal system: hexagonal
! Calculated density (g/cm³): 4.73
! Formation energy (no corrections) (eV per formula unit): -0.203

---

# 3
! PBE NbHOsRh2, optimized geometry; values from VASP
&SYSTEM
  ibrav = 0, nat = 5, ntyp = 4
/
ATOMIC_SPECIES
Rh 102.91 Rh.upf
Os 190.23 Os.upf
H 1.01 H.upf
Nb 92.91 Nb.upf
CELL_PARAMETERS angstrom
-3.868 0.108 0.654
-0.615 -2.026 -3.304
0.253 -3.448 2.067
ATOMIC_POSITIONS angstrom
Rh -0.308 -1.013 -1.652
Rh -1.934 0.054 0.327
Os 0.126 -1.724 1.034
H 0.000 0.000 0.000
Nb -2.115 -2.683 -0.291
! Polymorph energy (0 for the lowest one) (eV per atom): 0.0000
! Crystal system: tetragonal
! Calculated density (g/cm³): 13.12

---

# 4
! PBE Rb3Nb5S12, optimized geometry; values from VASP
&SYSTEM
  ibrav = 0, nat = 80, ntyp = 3
/
ATOMIC_SPECIES
Nb 92.91 Nb.upf
S 32.06 S.upf
Rb 85.47 Rb.upf
CELL_PARAMETERS angstrom
14.105 0.000 0.000
-4.702 13.298 0.000
-4.702 -6.649 11.517
ATOMIC_POSITIONS angstrom
Nb 7.053 0.000 0.000
Nb 1.175 4.156 10.077
Nb 3.526 9.974 2.879
Nb -1.175 10.805 1.440
Nb 1.175 -3.325 8.638
Nb 4.702 6.649 0.000
Nb 4.702 -3.325 5.758
Nb 5.877 5.818 4.319
Nb 3.526 2.493 1.440
Nb 5.877 3.325 8.638
Nb 8.228 -0.831 7.198
Nb 0.000 0.000 0.000
Nb -1.175 0.831 7.198
Nb -1.175 3.325 2.879
Nb -2.351 -3.325 5.758
Nb 5.877 -4.156 10.077
Nb -2.351 6.649 0.000
Nb -3.526 7.480 4.319
Nb 2.351 3.325 5.758
Nb -4.702 3.325 5.758
S 7.273 11.936 0.017
S 3.336 8.426 1.171
S 3.336 4.747 0.953
S 2.572 -2.629 6.930
S -6.040 3.460 7.899
S 5.276 5.432 9.376
S -1.366 0.126 9.393
S -2.572 2.658 6.946
S 1.777 4.570 7.883
S 5.687 1.776 10.345
S 10.742 3.189 3.618
S -1.339 8.052 4.806
S -1.012 4.863 10.329
S 9.183 1.362 0.017
S -0.985 8.552 0.953
S -4.128 5.787 5.775
S -1.012 -3.460 7.899
S 6.067 6.523 2.124
S 8.829 0.862 5.742
S 1.366 -1.776 10.345
S 0.574 8.728 7.883
S 5.714 10.109 3.618
S -0.574 1.217 2.141
S -5.687 -0.126 9.393
S 4.128 -2.079 3.634
S -1.777 -0.862 5.742
S 1.012 1.403 6.711
S 6.040 -1.403 6.711
S -4.481 5.287 11.500
S 1.366 1.903 10.564
S 3.689 5.246 4.806
S 7.627 -1.217 2.141
S 2.130 9.278 4.587
S 4.481 2.629 6.930
S 10.389 6.775 2.124
S -3.363 11.512 1.188
S -2.572 -5.287 11.500
S 5.687 -1.903 10.564
S 0.221 4.020 4.587
S 6.478 7.512 5.775
S 7.273 3.991 4.571
S -0.985 4.873 1.171
S -4.922 9.307 4.571
S -2.925 7.866 9.376
S 9.624 -2.658 6.946
S 8.065 -4.863 10.329
S 2.925 2.079 3.634
S 5.714 1.786 1.188
Rb 10.579 0.000 2.879
Rb -3.526 -2.493 10.077
Rb 8.228 4.156 1.440
Rb -1.175 5.818 7.198
Rb 1.175 6.649 2.879
Rb -5.877 6.649 8.638
Rb 1.175 -0.831 4.319
Rb 3.526 0.000 8.638
Rb 5.877 0.831 4.319
Rb 8.228 9.143 1.440
Rb -3.526 2.493 10.077
Rb 3.526 7.480 7.198
! Crystal system: cubic
! Calculated density (g/cm³): 3.40
! Formation energy (no corrections) (eV per formula unit): -17.974

---

# 5
! PBE Hf3Mg3TaN8, optimized geometry; values from VASP
&SYSTEM
  ibrav = 0, nat = 15, ntyp = 4
/
ATOMIC_SPECIES
Mg 24.30 Mg.upf
N 14.01 N.upf
Ta 180.95 Ta.upf
Hf 178.49 Hf.upf
CELL_PARAMETERS angstrom
6.375 0.000 0.000
-3.188 5.521 -0.019
0.000 -3.663 5.126
ATOMIC_POSITIONS angstrom
Mg 1.594 2.760 -0.010
Mg 0.000 0.000 0.000
Mg -1.594 2.760 -0.010
N 3.188 0.013 3.773
N 3.188 1.927 1.406
N 0.000 -0.069 3.701
N 4.853 -0.957 1.416
N 0.000 1.845 1.334
N 1.665 2.814 3.691
N 1.523 -0.957 1.416
N -1.665 2.814 3.691
Ta 0.000 -1.832 2.563
Hf 3.188 -1.832 2.563
Hf -1.594 0.929 2.553
Hf 1.594 0.929 2.553
! Crystal system: trigonal
! Calculated density (g/cm³): 8.32
! Formation energy (no corrections) (eV per formula unit): -18.484

---

# 6
! PBE Ca2PPb, optimized geometry; values from VASP
&SYSTEM
  ibrav = 0, nat = 4, ntyp = 3
/
ATOMIC_SPECIES
Ca 40.08 Ca.upf
P 30.97 P.upf
Pb 207.20 Pb.upf
CELL_PARAMETERS angstrom
9.182 0.014 0.008
8.327 3.871 0.008
8.327 1.847 3.401
ATOMIC_POSITIONS angstrom
Ca 25.260 5.604 3.342
Ca 13.493 2.993 1.785
P 6.459 1.433 0.854
Pb 19.377 4.299 2.563
! Polymorph energy (0 for the lowest one) (eV per atom): 0.0000
! Crystal system: trigonal
! Calculated density (g/cm³): 4.40
! Calculated formation energy (eV per atom): -0.688

---

# 7
! PBE Sm2TlAs, optimized geometry; values from VASP
&SYSTEM
  ibrav = 0, nat = 4, ntyp = 3
/
ATOMIC_SPECIES
Tl 204.38 Tl.upf
Sm 150.36 Sm.upf
As 74.92 As.upf
CELL_PARAMETERS angstrom
4.112 0.000 0.000
2.056 3.561 0.000
2.056 1.187 7.980
ATOMIC_POSITIONS angstrom
Tl 4.112 2.374 3.990
Sm 6.168 3.561 6.282
Sm 2.056 1.187 1.698
As 0.000 0.000 0.000
! Polymorph energy (0 for the lowest one) (eV per atom): 0.0000
! Crystal system: trigonal
! Calculated density (g/cm³): 8.24
! Calculated formation energy (eV per atom): -0.910

---

# 8
! PBE Ac2MgCuO5, optimized geometry; values from VASP
&SYSTEM
  ibrav = 0, nat = 18, ntyp = 4
/
ATOMIC_SPECIES
Cu 63.55 Cu.upf
O 16.00 O.upf
Ac 227.00 Ac.upf
Mg 24.30 Mg.upf
CELL_PARAMETERS angstrom
-3.596 -4.130 -1.869
3.848 -4.848 3.310
-3.929 0.814 5.759
ATOMIC_POSITIONS angstrom
Cu -1.965 0.407 2.880
Cu 1.924 -2.424 1.655
O -4.743 -3.342 2.725
O -1.839 -4.082 3.600
O -1.733 -3.363 6.637
O -0.005 -2.574 1.571
O -3.672 -5.590 5.629
O -1.798 -2.065 -0.935
O 1.066 -4.822 4.476
O -1.944 -4.801 0.563
O -2.805 -1.115 3.733
O -0.873 -7.049 3.468
Ac 0.112 -5.186 2.288
Ac -1.259 -5.528 5.679
Ac -3.789 -2.978 4.912
Ac -2.418 -2.637 1.522
Mg -0.041 -2.017 4.535
Mg 0.000 0.000 0.000
! Crystal system: tetragonal
! Calculated density (g/cm³): 7.24
! Formation energy (no corrections) (eV per formula unit): -18.797

---

# 9
! PBE CaTbNd2Bi4, optimized geometry; values from VASP
&SYSTEM
  ibrav = 0, nat = 8, ntyp = 4
/
ATOMIC_SPECIES
Bi 208.98 Bi.upf
Ca 40.08 Ca.upf
Nd 144.24 Nd.upf
Tb 158.93 Tb.upf
CELL_PARAMETERS angstrom
-0.087 -4.380 1.307
-1.552 -2.192 -7.446
6.860 -1.290 -3.866
ATOMIC_POSITIONS angstrom
Bi 1.256 -5.260 -1.552
Bi 3.965 -2.602 -8.453
Bi 4.671 -3.711 -4.130
Bi 0.550 -4.150 -5.874
Ca 6.040 -4.576 -6.935
Nd 3.387 -2.835 -1.279
Nd 6.860 -1.290 -3.866
Tb 2.654 -1.741 -5.656
! Crystal system: monoclinic
! Calculated density (g/cm³): 8.07
! Calculated formation energy (eV per atom): -0.845

---

# 10
! PBE GaGe2PbS, optimized geometry; values from VASP
&SYSTEM
  ibrav = 0, nat = 5, ntyp = 4
/
ATOMIC_SPECIES
Ga 69.72 Ga.upf
Ge 72.64 Ge.upf
S 32.06 S.upf
Pb 207.20 Pb.upf
CELL_PARAMETERS angstrom
-4.109 2.360 -1.716
-2.659 -4.060 0.785
-1.040 1.584 4.670
ATOMIC_POSITIONS angstrom
Ga -1.330 -2.030 0.392
Ge -0.520 0.792 2.335
Ge -2.055 1.180 -0.858
S 0.000 0.000 0.000
Pb -3.904 -0.058 1.869
! Crystal system: tetragonal
! Calculated density (g/cm³): 6.04
! Formation energy (no corrections) (eV per formula unit): 1.635